1.
VASP calculation (GGA-PBE) on MnRe2SnMo after structural relaxation.

The structure in POSCAR format:
```
MnRe2SnMo
1.0
4.7898 0.0000 0.0000
0.0000 4.7898 0.0000
0.0000 0.0000 4.4841
Mn Re Sn Mo
1 2 1 1
Cartesian
0.0000 0.0000 0.0000 Mn
0.0000 2.3949 2.2421 Re
2.3949 0.0000 2.2421 Re
0.0000 0.0000 2.2421 Sn
2.3949 2.3949 0.0000 Mo
```

- Formation enthalpy at 0 K: 2653 meV/atom
- Total magnetic moment: 0.350 μB/cell

2.
VASP calculation (GGA-PBE) on NbV3Ru after structural relaxation.

The structure in POSCAR format:
```
NbV3Ru
1.0
5.1370 0.0000 0.0000
0.0000 5.0638 0.0000
-0.0139 0.0000 5.7638
Nb V Ru
2 6 2
Cartesian
0.7237 1.2660 0.8327 Nb
4.3994 3.7979 4.9311 Nb
1.8026 0.0157 3.8744 V
1.8026 2.5163 3.8744 V
1.9238 3.7979 0.2453 V
3.1993 1.2660 5.5185 V
3.3206 2.5476 1.8894 V
3.3206 5.0482 1.8894 V
0.4372 3.7979 2.1811 Ru
4.6859 1.2660 3.5827 Ru
```

- Formation enthalpy at 0 K: 30 meV/atom
- Total magnetic moment: 0.000 μB/cell
- Energy above the lowest structure with this stoichiometry: 116 meV per atom

3.
VASP calculation (GGA-PBE) on TiNbCoBr after structural relaxation.

The structure in POSCAR format:
```
TiNbCoBr
1.0
3.4079 0.0000 0.0000
0.0000 3.2708 0.0000
-1.6957 0.0000 6.8780
Ti Nb Co Br
1 1 1 1
Cartesian
0.0000 0.0000 0.0000 Ti
1.7157 1.6354 4.4382 Nb
0.0109 0.0000 5.1582 Co
1.7043 1.6354 1.5902 Br
```

- Total magnetic moment: 0.000 μB/cell
- Energy above the lowest structure with this stoichiometry: 167 meV per atom
- Uncorrected formation energy: -38 meV per atom

4.
VASP calculation (GGA-PBE) on LiEuBiPb after structural relaxation.

The structure in POSCAR format:
```
LiEuBiPb
1.0
7.7224 0.0000 0.0000
0.0000 7.7224 0.0000
0.0000 0.0000 7.7224
Li Eu Bi Pb
4 4 4 4
Cartesian
0.0000 0.0000 0.0000 Li
0.0000 3.8612 3.8612 Li
3.8612 0.0000 3.8612 Li
3.8612 3.8612 0.0000 Li
0.0000 0.0000 3.8612 Eu
0.0000 3.8612 0.0000 Eu
3.8612 0.0000 0.0000 Eu
3.8612 3.8612 3.8612 Eu
1.9306 1.9306 5.7918 Bi
1.9306 5.7918 1.9306 Bi
5.7918 1.9306 1.9306 Bi
5.7918 5.7918 5.7918 Bi
1.9306 1.9306 1.9306 Pb
1.9306 5.7918 5.7918 Pb
5.7918 1.9306 5.7918 Pb
5.7918 5.7918 1.9306 Pb
```

- Formation enthalpy at 0 K: -434 meV/atom
- Total magnetic moment: 27.707 μB/cell